(1)
A relaxed Ta2Si3Mo4C3 crystal. Source: OQMD, functional PBE.

Calculated values
Size of the total moment = 0.000 μB per atom
DFT total energy = -114.3 eV per formula unit
Space-group type = No. 15

The structure in POSCAR format:
```
Ta2Si3Mo4C3
1.0
4.706 -2.727 0.000
4.706 2.727 0.000
-3.140 0.000 12.380
Ta Si Mo C
4 6 8 6
Direct
0.034 0.863 0.602
0.137 0.966 0.898
0.863 0.034 0.102
0.966 0.137 0.398
0.083 0.280 0.749
0.280 0.083 0.249
0.445 0.555 0.750
0.555 0.445 0.250
0.720 0.917 0.751
0.917 0.720 0.251
0.197 0.369 0.091
0.309 0.464 0.409
0.369 0.197 0.591
0.464 0.309 0.909
0.536 0.691 0.091
0.631 0.803 0.409
0.691 0.536 0.591
0.803 0.631 0.909
0.000 0.500 0.500
0.160 0.681 0.000
0.319 0.840 0.500
0.500 0.000 0.000
0.681 0.160 0.500
0.840 0.319 0.000
```

(2)
A relaxed LaAuNO crystal. Source: OQMD, functional PBE.

Calculated values
Size of the total moment = 0.228 μB per atom
Energy above the lowest structure with this stoichiometry = 166 meV/atom
Space-group type = No. 129

The structure in POSCAR format:
```
LaAuNO
1.0
4.046 0.000 0.000
0.000 4.046 0.000
0.000 0.000 7.914
La Au N O
2 2 2 2
Direct
0.250 0.250 0.155
0.750 0.750 0.845
0.250 0.750 0.500
0.750 0.250 0.500
0.250 0.250 0.661
0.750 0.750 0.339
0.250 0.750 0.000
0.750 0.250 0.000
```

(3)
A relaxed ZrCdAsO crystal. Source: OQMD, functional PBE.

Calculated values
Size of the total moment = 0.001 μB per atom
Energy above the lowest structure with this stoichiometry = 640 meV/atom
Space-group type = No. 129

The structure in POSCAR format:
```
ZrCdAsO
1.0
4.596 0.000 0.000
0.000 4.596 0.000
0.000 0.000 7.750
Zr Cd As O
2 2 2 2
Direct
0.250 0.750 0.000
0.750 0.250 0.000
0.250 0.250 0.450
0.750 0.750 0.550
0.250 0.250 0.835
0.750 0.750 0.165
0.250 0.750 0.500
0.750 0.250 0.500
```

(4)
A relaxed TbHoCd2Sn2 crystal. Source: OQMD, functional PBE.

Calculated values
Size of the total moment = 0.002 μB per atom
DFT total energy = -22.1 eV per formula unit
Space-group type = No. 107

The structure in POSCAR format:
```
TbHoCd2Sn2
1.0
-2.196 2.196 7.917
2.196 -2.196 7.917
2.196 2.196 -7.917
Tb Ho Cd Sn
1 1 2 2
Direct
0.000 0.000 0.000
0.674 0.674 0.000
0.337 0.837 0.500
0.837 0.337 0.500
0.195 0.195 0.000
0.480 0.480 0.000
```

(5)
A relaxed MgNpU crystal. Source: OQMD, functional PBE.

Calculated values
Size of the total moment = 2.329 μB per atom
Energy above the lowest structure with this stoichiometry = 0 meV/atom
Space-group type = No. 216

The structure in POSCAR format:
```
MgNpU
1.0
0.000 3.342 3.342
3.342 0.000 3.342
3.342 3.342 0.000
Mg Np U
1 1 1
Direct
0.000 0.000 0.000
0.500 0.500 0.500
0.250 0.250 0.250
```

(6)
A relaxed Hf2ScCo4Si4 crystal. Source: OQMD, functional PBE.

Calculated values
Size of the total moment = 0.002 μB per atom
DFT total energy = -85.3 eV per formula unit
Space-group type = No. 71

The structure in POSCAR format:
```
Hf2ScCo4Si4
1.0
-1.885 3.231 6.294
1.885 -3.231 6.294
1.885 3.231 -6.294
Hf Sc Co Si
2 1 4 4
Direct
0.127 0.127 0.000
0.873 0.873 0.000
0.500 0.000 0.500
0.126 0.325 0.801
0.477 0.675 0.801
0.523 0.325 0.199
0.874 0.675 0.199
0.191 0.500 0.691
0.283 0.783 0.500
0.717 0.217 0.500
0.809 0.500 0.309
```

(7)
A relaxed CuP4Se4I crystal. Source: OQMD, functional PBE.

Calculated values
DFT total energy = -42.3 eV per formula unit
Space-group type = No. 64

The structure in POSCAR format:
```
CuP4Se4I
1.0
7.452 -6.164 0.000
7.452 6.164 0.000
0.000 0.000 12.531
Cu P Se I
4 16 16 4
Direct
0.098 0.098 0.000
0.402 0.402 0.500
0.598 0.598 0.500
0.902 0.902 0.000
0.039 0.744 0.743
0.144 0.220 0.146
0.220 0.144 0.854
0.244 0.539 0.243
0.256 0.961 0.743
0.280 0.356 0.354
0.356 0.280 0.646
0.461 0.756 0.243
0.539 0.244 0.757
0.644 0.720 0.354
0.720 0.644 0.646
0.744 0.039 0.257
0.756 0.461 0.757
0.780 0.856 0.146
0.856 0.780 0.854
0.961 0.256 0.257
0.026 0.974 0.691
0.052 0.354 0.403
0.146 0.448 0.097
0.161 0.339 0.750
0.339 0.161 0.250
0.354 0.052 0.597
0.448 0.146 0.903
0.474 0.526 0.191
0.526 0.474 0.809
0.552 0.854 0.097
0.646 0.948 0.403
0.661 0.839 0.750
0.839 0.661 0.250
0.854 0.552 0.903
0.948 0.646 0.597
0.974 0.026 0.309
0.178 0.822 0.021
0.322 0.678 0.521
0.678 0.322 0.479
0.822 0.178 0.979
```

(8)
A relaxed Ba2Nb15O32 crystal. Source: OQMD, functional PBE.

Calculated values
Size of the total moment = 0.015 μB per atom
DFT total energy = -437.9 eV per formula unit
Space-group type = No. 148

The structure in POSCAR format:
```
Ba2Nb15O32
1.0
3.912 2.259 11.906
-3.912 2.259 11.906
0.000 -4.517 11.906
Ba Nb O
2 15 32
Direct
0.138 0.138 0.138
0.862 0.862 0.862
0.032 0.579 0.690
0.060 0.814 0.226
0.186 0.774 0.940
0.226 0.060 0.814
0.310 0.968 0.421
0.361 0.361 0.361
0.421 0.310 0.968
0.500 0.500 0.500
0.579 0.690 0.032
0.639 0.639 0.639
0.690 0.032 0.579
0.774 0.940 0.186
0.814 0.226 0.060
0.940 0.186 0.774
0.968 0.421 0.310
0.027 0.147 0.441
0.035 0.303 0.869
0.131 0.965 0.697
0.147 0.441 0.027
0.157 0.268 0.572
0.162 0.570 0.458
0.262 0.262 0.262
0.268 0.572 0.157
0.269 0.444 0.692
0.303 0.869 0.035
0.308 0.731 0.556
0.428 0.843 0.732
0.430 0.542 0.838
0.441 0.027 0.147
0.444 0.692 0.269
0.458 0.162 0.570
0.542 0.838 0.430
0.556 0.308 0.731
0.559 0.973 0.853
0.570 0.458 0.162
0.572 0.157 0.268
0.692 0.269 0.444
0.697 0.131 0.965
0.731 0.556 0.308
0.732 0.428 0.843
0.738 0.738 0.738
0.838 0.430 0.542
0.843 0.732 0.428
0.853 0.559 0.973
0.869 0.035 0.303
0.965 0.697 0.131
0.973 0.853 0.559
```

(9)
A relaxed Li2CoH6Os crystal. Source: OQMD, functional PBE.

Calculated values
Size of the total moment = 0.082 μB per atom
DFT total energy = -43.0 eV per formula unit
Space-group type = No. 225

The structure in POSCAR format:
```
Li2CoH6Os
1.0
0.000 3.301 3.301
3.301 0.000 3.301
3.301 3.301 0.000
Li Co H Os
2 1 6 1
Direct
0.250 0.250 0.250
0.750 0.750 0.750
0.000 0.000 0.000
0.241 0.241 0.759
0.241 0.759 0.241
0.241 0.759 0.759
0.759 0.241 0.241
0.759 0.241 0.759
0.759 0.759 0.241
0.500 0.500 0.500
```